This record from the Alexandria database describes an optimized crystal structure of AgBi2Se3Cl. The functional is GGA-PBEsol.

M_tot   0.0 Bohr magnetons per cell
E   -56.92 eV/cell
Space group   P2_1/m, No. 11
Crystal system   monoclinic

Cell lengths 4.0765, 7.9295, 11.0735 Å; angles 104.46, 90.00, 90.00 degrees
Fractional positions:
1 Ag 0.2500 0.9521 0.5871
2 Ag 0.7500 0.0479 0.4129
3 Bi 0.7500 0.5295 0.3403
4 Bi 0.2500 0.8070 0.0664
5 Bi 0.2500 0.4705 0.6597
6 Bi 0.7500 0.1930 0.9336
7 Cl 0.2500 0.4079 0.0991
8 Cl 0.7500 0.5921 0.9009
9 Se 0.7500 0.2000 0.6638
10 Se 0.2500 0.3054 0.4114
11 Se 0.7500 0.6946 0.5886
12 Se 0.2500 0.9512 0.8462
13 Se 0.2500 0.8000 0.3362
14 Se 0.7500 0.0488 0.1538